A plane-wave DFT calculation with GGA-PBE was carried out for Mn2SiSe after structural relaxation.

Cell and atoms, written as extended XYZ:
```
4
Lattice="-4.6726 -2.1807 3.1243 -3.6409 -4.7799 -0.4974 5.4920 2.4752 0.2490" Properties=species:S:1:pos:R:3 pbc="T T T"
Se -4.5581 -3.8163 1.4403
Mn -1.4369 -1.3989 2.2702
Mn -7.8160 -6.5440 2.4697
Si -1.4808 -3.1671 0.6362
```

Theoretical density = 6.2 g cm⁻³
V = 57.65 Å³/cell
Offset from the most stable computed form = 0.0 meV per atom
Total magnetization = 1.05 μB per atom